Here is an optimized crystal structure of Ba2SrSbN from Alexandria. Energies are from PBE.

Structure (CIF):
```
data_Ba2SrSbN
_cell_length_a 5.569
_cell_length_b 5.569
_cell_length_c 5.252
_cell_angle_alpha 90.00
_cell_angle_beta 90.00
_cell_angle_gamma 90.00
_space_group_name_H-M_alt 'P 4/m m m'
_space_group_IT_number 123
_space_group_name_Hall '-P 4 2'
loop_
_atom_site_label
_atom_site_fract_x
_atom_site_fract_y
_atom_site_fract_z
_atom_site_occupancy
Ba1 0.000 0.500 0.000 1
Sr1 0.000 0.000 0.500 1
Sb1 0.500 0.500 0.500 1
N1 0.000 0.000 0.000 1
```

Values from the calculation:
- Formation energy (no corrections): -800 meV per atom
- D(E_F): 0.74 states/eV/f.u.
- Crystal system: tetragonal
- Calculated volume: 32.6 Å³/atom
- Uncorrected energy: -4.39 eV per atom